Record 1
Ba2Sn3HgRh4 | PBE | optimized geometry

Cell: 4.6543 4.6543 11.0057 Å, 90.00 90.00 90.00°
Element x y z (fractional)
Ba: 0.0000 0.5000 0.2484
Ba: 0.5000 0.0000 0.7516
Sn: 0.0000 0.5000 0.8787
Sn: 0.5000 0.0000 0.1213
Sn: 0.5000 0.5000 0.5000
Hg: 0.0000 0.0000 0.5000
Rh: 0.0000 0.0000 0.0000
Rh: 0.0000 0.5000 0.6346
Rh: 0.5000 0.0000 0.3654
Rh: 0.5000 0.5000 0.0000

**DFT formation energy**: -5.02 eV per formula unit
**Space-group type**: P-4m2, No. 115
**DOS at the Fermi energy**: 0.55 states/eV per atom


Record 2
BaSnHg2Rh | PBE | optimized geometry

Cell: 5.3352 5.3352 5.1028 Å, 90.00 90.00 90.00°
Element x y z (fractional)
Ba: 0.0000 0.0000 0.0000
Sn: 0.5000 0.5000 0.0000
Hg: 0.0000 0.5000 0.5000
Hg: 0.5000 0.0000 0.5000
Rh: 0.5000 0.5000 0.5000

**DFT formation energy**: -1.75 eV per formula unit
**Space-group type**: P4/mmm, No. 123
**DOS at the Fermi energy**: 0.93 states/eV per atom


Record 3
BaSn2HgRh | PBE | optimized geometry

Cell: 5.1983 5.1983 5.3509 Å, 90.00 90.00 90.00°
Element x y z (fractional)
Ba: 0.0000 0.0000 0.0000
Sn: 0.0000 0.5000 0.5000
Sn: 0.5000 0.0000 0.5000
Hg: 0.5000 0.5000 0.0000
Rh: 0.5000 0.5000 0.5000

**DFT formation energy**: -1.71 eV per formula unit
**Space-group type**: P4/mmm, No. 123
**DOS at the Fermi energy**: 0.84 states/eV per atom


Record 4
Ba2SrHgRh | PBE | optimized geometry

Cell: 5.9646 5.9646 5.5871 Å, 90.00 90.00 90.00°
Element x y z (fractional)
Ba: 0.0000 0.5000 0.0000
Ba: 0.5000 0.0000 0.0000
Sr: 0.0000 0.0000 0.5000
Hg: 0.5000 0.5000 0.5000
Rh: 0.5000 0.5000 0.0000

**DFT formation energy**: -0.51 eV per formula unit
**Space-group type**: P4/mmm, No. 123
**DOS at the Fermi energy**: 1.03 states/eV per atom